A plane-wave DFT calculation with PBE was carried out for crystalline Sr2Ca12Ac at its relaxed geometry.

For the formation energy, the calculation gives 0.247 eV per atom. The total moment is 1.4 μB/cell.

a = 7.120 Å, b = 7.120 Å, c = 28.242 Å
α = 90.00°, β = 90.00°, γ = 90.00°
Fractional coordinates of all 30 atoms:
Sr 0.500 0.000 0.283
Ca 0.324 0.824 0.441
Ca 0.824 0.324 0.559
Ca 0.824 0.676 0.441
Ca 0.199 0.699 0.114
Ca 0.000 0.000 0.654
Sr 0.000 0.500 0.717
Ca 0.699 0.801 0.114
Sr 0.500 0.000 0.717
Ca 0.500 0.500 0.786
Ca 0.301 0.801 0.886
Ca 0.500 0.500 0.214
Ca 0.324 0.176 0.559
Ca 0.676 0.824 0.559
Sr 0.000 0.500 0.283
Ac 0.500 0.000 0.000
Ca 0.000 0.000 0.346
Ca 0.176 0.324 0.441
Ca 0.500 0.500 0.346
Ca 0.199 0.301 0.886
Ca 0.699 0.199 0.886
Ca 0.176 0.676 0.559
Ca 0.801 0.699 0.886
Ca 0.676 0.176 0.441
Ac 0.000 0.500 0.000
Ca 0.000 0.000 0.214
Ca 0.801 0.301 0.114
Ca 0.500 0.500 0.654
Ca 0.301 0.199 0.114
Ca 0.000 0.000 0.786